Entry 1:
A plane-wave DFT calculation with PBE was carried out for a geometry-optimized LiZr2Co structure.

Lattice parameters (Å, degrees): 8.7910 8.7910 8.7910 21.86 21.86 21.86
With the nearest neighbours (Å) after each atom.
Element x y z (fractional)
1 Co 0.2500 0.2500 0.2500  6 Zr 2.54
2 Li 0.7500 0.7500 0.7500  6 Zr 3.27, 6 Li 3.33
3 Zr 0.9808 0.9808 0.9808  3 Co 2.54
4 Zr 0.5192 0.5192 0.5192  3 Co 2.54

Formation energy   12 kJ per mole of atoms
Magnetic moment   0.000 Bohr magnetons per cell
Symmetry   R-3m, No. 166
Energy above the lowest structure with this stoichiometry   0.1559 eV per atom
Energy   -6.4039 eV/atom


Entry 2:
A plane-wave DFT calculation with PBE was carried out for a geometry-optimized LiZr2Co structure.

Lattice parameters (Å, degrees): 3.3651 3.3651 8.7630 78.90 78.90 60.04
With the nearest neighbours (Å) after each atom.
Element x y z (fractional)
1 Li 0.4998 0.4998 0.5005  6 Zr 3.29-3.30, 6 Li 3.37
2 Zr 0.0635 0.0635 0.8110  3 Co 2.53
3 Zr 0.2701 0.2701 0.1883  3 Co 2.52
4 Co 0.6667 0.6667 0.0002  6 Zr 2.52-2.53

Formation energy   13 kJ per mole of atoms
Magnetic moment   0.000 Bohr magnetons per cell
Symmetry   R3m, No. 160
Energy above the lowest structure with this stoichiometry   0.1624 eV per atom
Energy   -6.3974 eV/atom


Entry 3:
A plane-wave DFT calculation with PBE was carried out for a geometry-optimized LiZrCo2 structure.

Lattice parameters (Å, degrees): 4.2642 4.2642 4.2642 60.00 60.00 60.00
With the nearest neighbours (Å) after each atom.
Element x y z (fractional)
1 Co 0.0000 0.0000 0.0000  4 Zr 2.61, 4 Co 2.61
2 Co 0.2500 0.2500 0.2500  4 Co 2.61, 4 Li 2.61
3 Li 0.5000 0.5000 0.5000  4 Zr 2.61, 4 Co 2.61
4 Zr 0.7500 0.7500 0.7500  4 Li 2.61, 4 Co 2.61

Formation energy   11 kJ per mole of atoms
Magnetic moment   1.699 Bohr magnetons per cell
Symmetry   F-43m, No. 216
Energy   -6.0594 eV/atom


Entry 4:
A plane-wave DFT calculation with PBE was carried out for a geometry-optimized LiZr3Co structure.

Lattice parameters (Å, degrees): 4.8789 4.8789 4.8789 90.00 90.00 90.00
With the nearest neighbours (Å) after each atom.
Element x y z (fractional)
1 Co 0.0000 0.0000 0.0000  6 Zr 2.44
2 Zr 0.0000 0.5000 0.0000  2 Co 2.44
3 Zr 0.0000 0.0000 0.5000  2 Co 2.44
4 Zr 0.5000 0.0000 0.0000  2 Co 2.44
5 Li 0.5000 0.5000 0.5000  12 Zr 3.45

Formation energy   29 kJ per mole of atoms
Magnetic moment   0.000 Bohr magnetons per cell
Symmetry   Pm-3m, No. 221
Energy above the lowest structure with this stoichiometry   0.0000 eV per atom
Energy   -6.6288 eV/atom